1.
Density functional theory data (PBE) for an optimized crystal structure of Cd2MoP2.

Cell lengths 6.2669, 6.2669, 4.5288 Å; angles 90.00, 90.00, 90.00 degrees
With the nearest neighbours (Å) after each atom.
Fractional positions:
Cd 0.1980 0.3020 0.0000  2 P 2.73
Cd 0.3020 0.8020 0.0000  2 P 2.73
Cd 0.6980 0.1980 0.0000  2 P 2.73
Cd 0.8020 0.6980 0.0000  2 P 2.73
Mo 0.0000 0.0000 0.5000  4 P 2.46
Mo 0.5000 0.5000 0.5000  4 P 2.46
P 0.1298 0.6298 0.5000  1 P 2.30, 2 Mo 2.46
P 0.3702 0.1298 0.5000  1 P 2.30, 2 Mo 2.46
P 0.6298 0.8702 0.5000  1 P 2.30, 2 Mo 2.46
P 0.8702 0.3702 0.5000  1 P 2.30, 2 Mo 2.46

Summary:
Calculated volume   17.79 A^3/atom
Formation enthalpy at 0 K   0.075 eV per atom
DFT total energy   -4.62 eV/atom

=====

2.
Density functional theory data (PBE) for an optimized crystal structure of PrNd2Au.

Cell lengths 10.4109, 10.4109, 10.4109 Å; angles 21.42, 21.42, 21.42 degrees
With the nearest neighbours (Å) after each atom.
Fractional positions:
Pr 0.0000 0.0000 0.0000  6 Nd 3.73-3.74, 6 Pr 3.87
Nd 0.5690 0.5690 0.5690  3 Au 3.07
Nd 0.7649 0.7649 0.7649  3 Au 3.06
Au 0.1666 0.1666 0.1666  6 Nd 3.06-3.07

Summary:
Calculated volume   32.97 A^3/atom
Formation enthalpy at 0 K   -0.247 eV per atom
Polymorph energy (0 for the lowest one)   0.57 eV per formula unit
DFT total energy   -4.64 eV/atom